No. 1
Crystalline Nd4Si3Pt at its relaxed geometry. Source: Alexandria, functional GGA-PBE.

The structure belongs to space group Pmm2 (No. 25); the cell edges are 4.0338, 4.3527 and 11.1483 Å and the angles 90.00°, 90.00° and 90.00°. The asymmetric unit holds Nd at (0.0000, 0.0000, 0.0000), Nd at (0.0000, 0.5000, 0.4927), Nd at (0.5000, 0.0000, 0.2770), Nd at (0.5000, 0.5000, 0.7783), Si at (0.0000, 0.0000, 0.7013), Si at (0.0000, 0.5000, 0.2087), Si at (0.5000, 0.0000, 0.5659) and Pt at (0.5000, 0.5000, 0.0608).

The value obtained for the uncorrected energy is -5.995 eV/atom. As for the formation energy (no corrections): -0.8226 eV/atom.

No. 2
Crystalline Fe2ReCl at its relaxed geometry. Source: Alexandria, functional GGA-PBE.

The structure belongs to space group Imm2 (No. 44); the cell edges are 2.8381, 2.8442 and 14.6988 Å and the angles 90.00°, 90.00° and 90.00°. The asymmetric unit holds Fe at (0.0000, 0.0000, 0.0000), Fe at (0.0000, 0.5000, 0.1338), Re at (0.0000, 0.5000, 0.7308) and Cl at (0.0000, 0.0000, 0.3765).

The value obtained for the uncorrected energy is -7.289 eV/atom. Its distance to the lowest polymorph of the same formula is 93 kJ/mol of formula units. As for the formation energy (no corrections): 0.5158 eV/atom.

No. 3
Crystalline TlGeCl3 at its relaxed geometry. Source: Alexandria, functional GGA-PBE.

The structure belongs to space group R-3 (No. 148, hexagonal axes); the cell edges are 7.3150, 7.3150 and 21.8400 Å and the angles 90.00°, 90.00° and 120.00°. The asymmetric unit holds Tl at (0.0000, 0.0000, 0.1523), Ge at (0.0000, 0.0000, 0.3582) and Cl at (0.0271, 0.7297, 0.4138).

The value obtained for the uncorrected energy is -3.380 eV/atom. As for the formation energy (no corrections): -0.8753 eV/atom.

No. 4
Crystalline CaZn3Au at its relaxed geometry. Source: Alexandria, functional GGA-PBE.

The structure belongs to space group Cmcm (No. 63); the cell edges are 5.9925, 11.4090 and 5.8686 Å and the angles 90.00°, 90.00° and 90.00°. The asymmetric unit holds Ca at (0.0000, 0.2495, 0.2500), Zn at (0.0000, 0.1317, 0.7500), Zn at (0.2504, 0.0000, 0.0000) and Au at (0.0000, 0.3560, 0.7500).

The value obtained for the uncorrected energy is -2.191 eV/atom. The calculation puts the formation energy from the elements at -0.3704 eV/atom. Its distance to the lowest polymorph of the same formula is 5 kJ/mol of formula units.

No. 5
Crystalline Mg2FeGe2 at its relaxed geometry. Source: Alexandria, functional GGA-PBE.

The structure belongs to space group P4/mbm (No. 127); the cell edges are 6.3830, 6.3830 and 4.1749 Å and the angles 90.00°, 90.00° and 90.00°. The asymmetric unit holds Mg at (0.1723, 0.3277, 0.0000), Fe at (0.0000, 0.0000, 0.5000) and Ge at (0.1432, 0.6432, 0.5000).

The value obtained for the uncorrected energy is -4.262 eV/atom. The calculation puts the formation energy from the elements at -0.0844 eV/atom.

No. 6
Crystalline UN3 at its relaxed geometry. Source: Alexandria, functional GGA-PBE.

The structure belongs to space group Pm-3m (No. 221); the cell edges are 3.4166, 3.4166 and 3.4166 Å and the angles 90.00°, 90.00° and 90.00°. The asymmetric unit holds U at (0.0000, 0.0000, 0.0000) and N at (0.0000, 0.5000, 0.5000).

The value obtained for the uncorrected energy is -8.790 eV/atom. As for the formation energy (no corrections): 0.2763 eV/atom.

No. 7
Crystalline KLaAs2 at its relaxed geometry. Source: Alexandria, functional GGA-PBE.

The structure belongs to space group P4mm (No. 99); the cell edges are 4.0147, 4.0147 and 9.1717 Å and the angles 90.00°, 90.00° and 90.00°. The asymmetric unit holds K at (0.0000, 0.0000, 0.0000), La at (0.5000, 0.5000, 0.4666), As at (0.0000, 0.0000, 0.3642) and As at (0.5000, 0.5000, 0.7931).

The value obtained for the uncorrected energy is -4.306 eV/atom. The calculation puts the formation energy from the elements at -0.4750 eV/atom. Its distance to the lowest polymorph of the same formula is 157 kJ/mol of formula units.

No. 8
Crystalline MnCrTe2 at its relaxed geometry. Source: Alexandria, functional GGA-PBE.

The structure belongs to space group P4/mmm (No. 123); the cell edges are 4.8819, 4.8819 and 3.4445 Å and the angles 90.00°, 90.00° and 90.00°. The asymmetric unit holds Mn at (0.0000, 0.0000, 0.0000), Cr at (0.5000, 0.5000, 0.0000) and Te at (0.0000, 0.5000, 0.5000).

The value obtained for the uncorrected energy is -5.955 eV/atom. As for the formation energy (no corrections): 0.3145 eV/atom.

No. 9
Crystalline Al6V2Ni at its relaxed geometry. Source: Alexandria, functional GGA-PBE.

The structure belongs to space group Cmmm (No. 65); the cell edges are 6.9942, 13.5743 and 2.8311 Å and the angles 90.00°, 90.00° and 90.00°. The asymmetric unit holds Al at (0.1835, 0.1587, 0.0000), Al at (0.1945, 0.5000, 0.5000), V at (0.0000, 0.3111, 0.5000) and Ni at (0.0000, 0.0000, 0.0000).

The value obtained for the uncorrected energy is -5.307 eV/atom. The calculation puts the formation energy from the elements at -0.1430 eV/atom.

No. 10
Crystalline Co4PCl at its relaxed geometry. Source: Alexandria, functional GGA-PBE.

The structure belongs to space group F-43m (No. 216); the cell edges are 6.8539, 6.8539 and 6.8539 Å and the angles 90.00°, 90.00° and 90.00°. The asymmetric unit holds Co at (0.1239, 0.1239, 0.1239), P at (0.2500, 0.2500, 0.7500) and Cl at (0.0000, 0.0000, 0.5000).

The value obtained for the uncorrected energy is -5.243 eV/atom. As for the formation energy (no corrections): 0.7036 eV/atom.

No. 11
Crystalline KOs at its relaxed geometry. Source: Alexandria, functional GGA-PBE.

The structure belongs to space group R-3m (No. 166, hexagonal axes); the cell edges are 5.2977, 5.2977 and 11.4011 Å and the angles 90.00°, 90.00° and 120.00°. The asymmetric unit holds K at (0.0000, 0.0000, 0.1287) and Os at (0.0000, 0.0000, 0.3999).

The value obtained for the uncorrected energy is -4.558 eV/atom. The calculation puts the formation energy from the elements at 1.6060 eV/atom. Its distance to the lowest polymorph of the same formula is 175 kJ/mol of formula units.

No. 12
Crystalline MnCrTc at its relaxed geometry. Source: Alexandria, functional GGA-PBE.

The structure belongs to space group Fmmm (No. 69); the cell edges are 4.6188, 7.9823 and 8.3235 Å and the angles 90.00°, 90.00° and 90.00°. The asymmetric unit holds Mn at (0.2500, 0.2500, 0.2500), Cr at (0.0000, 0.0000, 0.1549) and Tc at (0.0000, 0.1546, 0.5000).

The value obtained for the uncorrected energy is -9.568 eV/atom. The calculation puts the formation energy from the elements at 0.1518 eV/atom. Its distance to the lowest polymorph of the same formula is 53 kJ/mol of formula units.

No. 13
Crystalline MgMoPt at its relaxed geometry. Source: Alexandria, functional GGA-PBE.

The structure belongs to space group I4mm (No. 107); the cell edges are 2.8519, 2.8519 and 11.9885 Å and the angles 90.00°, 90.00° and 90.00°. The asymmetric unit holds Mg at (0.0000, 0.0000, 0.0000), Mo at (0.0000, 0.0000, 0.6819) and Pt at (0.0000, 0.0000, 0.3379).

The value obtained for the uncorrected energy is -6.363 eV/atom. The calculation puts the formation energy from the elements at -0.2074 eV/atom. Its distance to the lowest polymorph of the same formula is 38 kJ/mol of formula units.

No. 14
Crystalline Cr2ReRu at its relaxed geometry. Source: Alexandria, functional GGA-PBE.

The structure belongs to space group R-3m (No. 166, hexagonal axes); the cell edges are 2.6743, 2.6743 and 25.9146 Å and the angles 90.00°, 90.00° and 120.00°. The asymmetric unit holds Cr at (0.0000, 0.0000, 0.2487), Re at (0.0000, 0.0000, 0.0000) and Ru at (0.0000, 0.0000, 0.5000).

The value obtained for the uncorrected energy is -10.019 eV/atom. The calculation puts the formation energy from the elements at 0.2238 eV/atom.

No. 15
Crystalline CuSbOs2 at its relaxed geometry. Source: Alexandria, functional GGA-PBE.

The structure belongs to space group I-4m2 (No. 119); the cell edges are 3.9413, 3.9413 and 7.9362 Å and the angles 90.00°, 90.00° and 90.00°. The asymmetric unit holds Cu at (0.0000, 0.0000, 0.0000), Sb at (0.0000, 0.5000, 0.2500), Os at (0.0000, 0.0000, 0.5000) and Os at (0.0000, 0.5000, 0.7500).

The value obtained for the uncorrected energy is -7.066 eV/atom. As for the formation energy (no corrections): 0.6036 eV/atom.

No. 16
Crystalline LiFe3Se at its relaxed geometry. Source: Alexandria, functional GGA-PBE.

The structure belongs to space group Pm-3m (No. 221); the cell edges are 4.4422, 4.4422 and 4.4422 Å and the angles 90.00°, 90.00° and 90.00°. The asymmetric unit holds Li at (0.0000, 0.0000, 0.0000), Fe at (0.0000, 0.5000, 0.5000) and Se at (0.5000, 0.5000, 0.5000).

The value obtained for the uncorrected energy is -5.568 eV/atom. Its distance to the lowest polymorph of the same formula is 0 kJ/mol of formula units. As for the formation energy (no corrections): 0.5892 eV/atom.

No. 17
Crystalline AgOs2SeCl at its relaxed geometry. Source: Alexandria, functional GGA-PBE.

The structure belongs to space group P4/mmm (No. 123); the cell edges are 5.0999, 5.0999 and 4.6260 Å and the angles 90.00°, 90.00° and 90.00°. The asymmetric unit holds Ag at (0.0000, 0.0000, 0.0000), Os at (0.0000, 0.5000, 0.0000), Se at (0.5000, 0.5000, 0.5000) and Cl at (0.0000, 0.0000, 0.5000).

The value obtained for the uncorrected energy is -3.742 eV/atom. As for the formation energy (no corrections): 2.3868 eV/atom.

No. 18
Crystalline AsAuBr2 at its relaxed geometry. Source: Alexandria, functional GGA-PBE.

The structure belongs to space group P4/mmm (No. 123); the cell edges are 3.4774, 3.4774 and 7.4347 Å and the angles 90.00°, 90.00° and 90.00°. The asymmetric unit holds As at (0.0000, 0.0000, 0.0000), Au at (0.0000, 0.0000, 0.5000) and Br at (0.5000, 0.5000, 0.2382).

The value obtained for the uncorrected energy is -2.249 eV/atom. Its distance to the lowest polymorph of the same formula is 304 kJ/mol of formula units. As for the formation energy (no corrections): 0.5687 eV/atom.

No. 19
Crystalline Ba2LiAg at its relaxed geometry. Source: Alexandria, functional GGA-PBE.

The structure belongs to space group R3m (No. 160, hexagonal axes); the cell edges are 4.8408, 4.8408 and 27.0434 Å and the angles 90.00°, 90.00° and 120.00°. The asymmetric unit holds Ba at (0.0000, 0.0000, 0.0000), Ba at (0.0000, 0.0000, 0.1938), Li at (0.0000, 0.0000, 0.7619) and Ag at (0.0000, 0.0000, 0.5981).

The value obtained for the uncorrected energy is -2.159 eV/atom. The calculation puts the formation energy from the elements at -0.0064 eV/atom. Its distance to the lowest polymorph of the same formula is 52 kJ/mol of formula units.

No. 20
Crystalline RbAgPIr at its relaxed geometry. Source: Alexandria, functional GGA-PBE.

The structure belongs to space group P4/nmm (No. 129, origin choice 2); the cell edges are 3.9602, 3.9602 and 12.9681 Å and the angles 90.00°, 90.00° and 90.00°. The asymmetric unit holds Rb at (0.2500, 0.2500, 0.2384), Ag at (0.2500, 0.7500, 0.0000), P at (0.2500, 0.2500, 0.5996) and Ir at (0.2500, 0.7500, 0.5000).

The value obtained for the uncorrected energy is -4.878 eV/atom. The calculation puts the formation energy from the elements at -0.3556 eV/atom.

no.,total magnetization (μB per cell)
1,0.3
2,8.2
3,0.0
4,0.0
5,2.7
6,0.0
7,0.0
8,6.9
9,0.0
10,29.4
11,0.0
12,0.0
13,0.0
14,0.0
15,0.0
16,7.0
17,6.0
18,0.0
19,0.0
20,0.0